# 1
IrRh2Se | PBE | relaxed Values from VASP.

The structure in Quantum ESPRESSO input format:
```
&SYSTEM
  ibrav = 0, nat = 4, ntyp = 3
/
ATOMIC_SPECIES
Rh 102.91 Rh.upf
Ir 192.22 Ir.upf
Se 78.96 Se.upf
CELL_PARAMETERS angstrom
3.7195 0.0000 0.0000
0.0000 2.8329 0.3075
0.0000 2.2387 5.9646
ATOMIC_POSITIONS angstrom
Rh 0.0000 2.5402 3.1779
Rh 0.0000 2.2343 5.9227
Ir 1.8598 3.8037 4.7041
Se 1.8598 1.2679 1.5680
```

VASP energy = -26.21 eV per formula unit

=====

# 2
IrRhSe2 | PBE | relaxed Values from VASP.

The structure in Quantum ESPRESSO input format:
```
&SYSTEM
  ibrav = 0, nat = 4, ntyp = 3
/
ATOMIC_SPECIES
Ir 192.22 Ir.upf
Se 78.96 Se.upf
Rh 102.91 Rh.upf
CELL_PARAMETERS angstrom
-1.3530 2.9569 -2.6847
-3.7133 1.7141 -1.0269
-0.1347 4.5001 3.1818
ATOMIC_POSITIONS angstrom
Ir -3.9008 6.8784 -0.3974
Se -2.5898 4.5814 -0.2528
Se -0.1455 4.5044 3.1696
Rh -1.3003 2.2928 -0.1325
```

VASP energy = -22.37 eV per formula unit

=====

# 3
IrRhSe2 | PBE | relaxed Values from VASP.

The structure in Quantum ESPRESSO input format:
```
&SYSTEM
  ibrav = 0, nat = 4, ntyp = 3
/
ATOMIC_SPECIES
Ir 192.22 Ir.upf
Se 78.96 Se.upf
Rh 102.91 Rh.upf
CELL_PARAMETERS angstrom
-3.3500 -2.0634 6.7038
0.1252 -1.8162 7.5570
-1.9094 1.1359 7.4489
ATOMIC_POSITIONS angstrom
Ir -2.5671 -1.3719 10.8548
Se -0.5421 -0.2897 2.2922
Se -4.5921 -2.4540 19.4175
Rh 0.0000 0.0000 0.0000
```

VASP energy = -22.60 eV per formula unit

=====

# 4
IrRhSe2 | PBE | relaxed Values from VASP.

The structure in Quantum ESPRESSO input format:
```
&SYSTEM
  ibrav = 0, nat = 4, ntyp = 3
/
ATOMIC_SPECIES
Rh 102.91 Rh.upf
Se 78.96 Se.upf
Ir 192.22 Ir.upf
CELL_PARAMETERS angstrom
7.8639 -0.0268 -0.0160
7.0931 3.3954 -0.0160
7.0931 1.5975 2.9962
ATOMIC_POSITIONS angstrom
Rh 16.3989 3.6933 2.2045
Se 5.0031 1.1268 0.6726
Se 0.5100 0.1149 0.0686
Ir 11.1632 2.5142 1.5006
```

VASP energy = -23.35 eV per formula unit

=====

Number 1: formation energy without anion corrections 210 meV/atom, DOS(E_F) 4.64 states/eV/f.u.. Number 2: formation energy without anion corrections 203 meV/atom, DOS(E_F) 4.01 states/eV/f.u.. Number 3: formation energy without anion corrections 146 meV/atom, DOS(E_F) 3.48 states/eV/f.u.. Number 4: formation energy without anion corrections -42 meV/atom, DOS(E_F) 3.57 states/eV/f.u..